# Sr2Te3O10

A geometry-optimized Sr2Te3O10 structure (GGA-PBE, the Alexandria database).

```
30
Lattice="9.3492 -2.9825 0.0000 9.3492 2.9825 0.0000 -3.2625 0.0000 7.7838" Properties=species:S:1:pos:R:3 pbc="T T T"
Sr 1.6607 0.0000 1.7463
Sr 1.1376 0.0000 6.4130
Sr 14.2983 0.0000 1.3707
Sr 13.7752 0.0000 6.0374
Te 7.7180 1.4645 3.8919
Te 4.3999 0.0000 3.8369
Te 7.7375 0.0000 0.1390
Te 7.6984 0.0000 7.6447
Te 11.0360 0.0000 3.9468
Te 7.7180 -1.4645 3.8919
O 3.0434 1.4913 3.8919
O -1.6055 0.0000 5.2052
O 3.2480 1.4281 7.7503
O 5.6109 1.5536 3.8697
O 4.2716 0.0000 1.9743
O 9.3492 1.2786 0.0000
O 9.8250 1.5536 3.9141
O 4.3130 0.0000 5.7848
O 12.1879 1.4281 0.0334
O 7.8261 0.0000 2.0293
O 3.0434 -1.4913 3.8919
O 7.6098 0.0000 5.7544
O 3.2480 -1.4281 7.7503
O 11.1229 0.0000 1.9990
O 5.6109 -1.5536 3.8697
O 9.3492 -1.2786 0.0000
O 11.1644 0.0000 5.8095
O 9.8250 -1.5536 3.9141
O 12.1879 -1.4281 0.0334
O 17.0415 0.0000 2.5786
```

Computed properties:
**Energy relative to the elements, uncorrected**: -1.512 eV per atom
**Calculated total energy**: -0.2084 hartree per atom
**DOS at the Fermi energy**: 0.107 states/eV per atom